Below is crystalline KFeOs2O8 at its relaxed geometry, with properties calculated at the PBE with a Hubbard U level.

Cell: 5.3414 5.3414 25.8445 Å, 90.00 90.00 120.00°
Closest atoms and distances in Å follow each position.
Space group R32 (No. 155, hexagonal axes)
Inequivalent atoms, fractional coordinates:
K: 0.0000 0.0000 0.0000 x3  6 O 3.14
Fe: 0.0000 0.0000 0.5000 x3  6 O 2.15
Os: 0.0000 0.0000 0.2417 x6  4 O 1.78-1.79
O: 0.0000 0.0000 0.3105 x6  1 Os 1.78
O: 0.0042 0.3774 0.1140 x18  1 Os 1.79

Volume = 17.74 Å³/atom
Electronic total energy = -6.782 eV/atom